Material: BaBi3Pd
Method: DFT, meta-GGA SCAN
State: single point on PBEsol structure

Structure (POSCAR):
```
BaBi3Pd
1.0
5.444 0.000 0.000
0.000 5.444 0.000
0.000 0.000 5.444
Pd Bi Ba
1 3 1
Cartesian
0.000 0.000 0.000
2.722 0.000 0.000
0.000 0.000 2.722
0.000 2.722 0.000
2.722 2.722 2.722
```

Its space group is Pm-3m. The calculation puts the formation energy at -0.329 eV/atom. The electronic total energy comes out at -309.71 eV/f.u. The magnetic moment is 0.00 μB per formula unit.